*a*
# Er3TmTl | the Alexandria database | PBE-GGA | relaxed
# Mass density   10.24 g/cm³
# V   568 Å³ per cell
data_Er3TmTl
_chemical_formula_sum 'Er12 Tm4 Tl4'
_symmetry_space_group_name_H-M 'C m c m'
_symmetry_Int_Tables_number 63
_symmetry_space_group_name_Hall '-C 2c 2'
_cell_length_a 4.767
_cell_length_b 25.069
_cell_length_c 4.751
_cell_angle_alpha 90.00
_cell_angle_beta 90.00
_cell_angle_gamma 90.00
loop_
_atom_site_label
_atom_site_fract_x
_atom_site_fract_y
_atom_site_fract_z
Er1 0.000 0.048 0.250
Er2 0.000 0.251 0.250
Er3 0.000 0.448 0.250
Tm1 0.000 0.150 0.750
Tl1 0.000 0.349 0.750

*b*
# Er3TmTl | the Alexandria database | PBE-GGA | relaxed
# Mass density   9.84 g/cm³
# V   1181 Å³ per cell
data_Er3TmTl
_chemical_formula_sum 'Er24 Tm8 Tl8'
_symmetry_space_group_name_H-M 'C 1 2/c 1'
_symmetry_Int_Tables_number 15
_symmetry_space_group_name_Hall '-C 2yc'
_cell_length_a 14.430
_cell_length_b 13.027
_cell_length_c 6.476
_cell_angle_alpha 90.00
_cell_angle_beta 103.96
_cell_angle_gamma 90.00
loop_
_atom_site_label
_atom_site_fract_x
_atom_site_fract_y
_atom_site_fract_z
Er1 0.097 0.189 0.477
Er2 0.189 0.312 0.142
Er3 0.198 0.427 0.643
Tm1 0.104 0.067 0.959
Tl1 0.000 0.333 0.750
Tl2 0.000 0.417 0.250

Top of the stability list: *a*, leading by 76 meV/atom.